[1]
Here is crystalline Pr2PaRh3O12 at its relaxed geometry from Alexandria via LeMat-Bulk. Energies are from PBE.

Lattice parameters (Å, degrees): 7.0089 7.0089 16.0642 90.00 90.00 120.00
With the nearest neighbours (Å) after each atom.
Space group R-3m (No. 166, hexagonal axes)
Asymmetric unit:
Pr1 0.0000 0.0000 0.1186 [6 per cell]  3 O 2.27
Pa1 0.0000 0.0000 0.5000 [3 per cell]  12 O 2.43-2.60
Rh1 0.0000 0.5000 0.0000 [9 per cell]  6 O 1.97-2.00
O1 0.0504 0.5252 0.8773 [18 per cell]  1 Rh 2.00
O2 0.0634 0.5317 0.2922 [18 per cell]  2 Rh 1.97

Computed properties:
VASP energy ... -133.41 eV/f.u.
Magnetization ... 0.00 μB/f.u.
V ... 227.81 Å³/f.u.
Fermi-level density of states ... 48.65 states/eV per cell

---

[2]
Here is crystalline PrPaRh2O8 at its relaxed geometry from Alexandria via LeMat-Bulk. Energies are from PBE.

Lattice parameters (Å, degrees): 6.0055 6.0055 6.8529 90.00 90.00 120.00
With the nearest neighbours (Å) after each atom.
Space group P-3 (No. 147)
Asymmetric unit:
Pr1 0.0000 0.0000 0.0000 [1 per cell]  6 O 2.49
Pa1 0.0000 0.0000 0.5000 [1 per cell]  6 O 2.17
Rh1 0.3333 0.6667 0.1986 [2 per cell]  4 O 1.79-1.98
O1 0.1507 0.8476 0.2820 [6 per cell]  1 Rh 1.98, 1 Pa 2.17
O2 0.3333 0.6667 0.9378 [2 per cell]  1 Rh 1.79

Computed properties:
VASP energy ... -87.76 eV/f.u.
Magnetization ... 2.02 μB/f.u.
V ... 214.04 Å³/f.u.
Fermi-level density of states ... 5.08 states/eV per cell

---

[3]
Here is crystalline Pr2PaSbO8 at its relaxed geometry from Alexandria via LeMat-Bulk. Energies are from PBE.

Lattice parameters (Å, degrees): 4.1870 7.3940 5.5252 90.00 96.88 90.00
With the nearest neighbours (Å) after each atom.
Space group P2/m (No. 10)
Asymmetric unit:
Pr1 0.0000 0.2412 0.0000 [2 per cell]  6 O 2.37-2.52
Pa1 0.5000 0.5000 0.5000 [1 per cell]  6 O 2.10-2.35
Sb1 0.5000 0.0000 0.5000 [1 per cell]  6 O 1.96-2.16
O1 0.0665 0.5000 0.2666 [2 per cell]  1 Pa 2.10
O2 0.0960 0.0000 0.2818 [2 per cell]  1 Sb 1.96
O3 0.4346 0.2348 0.7224 [4 per cell]  1 Sb 2.16, 1 Pa 2.35

Computed properties:
VASP energy ... -96.45 eV/f.u.
Magnetization ... 0.00 μB/f.u.
V ... 169.82 Å³/f.u.
Fermi-level density of states ... 0.00 states/eV per cell

---

[4]
Here is crystalline PrPaSbO6 at its relaxed geometry from Alexandria via LeMat-Bulk. Energies are from PBE.

Lattice parameters (Å, degrees): 5.7590 5.7590 10.0503 90.00 90.00 120.00
With the nearest neighbours (Å) after each atom.
Space group P-31c (No. 163)
Asymmetric unit:
Pr1 0.0000 0.0000 0.0000 [2 per cell]  6 O 2.46
Pa1 0.3333 0.6667 0.2500 [2 per cell]  6 O 2.21
Sb1 0.3333 0.6667 0.7500 [2 per cell]  6 O 2.15
O1 0.0071 0.3554 0.6386 [12 per cell]  1 Sb 2.15, 1 Pa 2.21

Computed properties:
VASP energy ... -72.16 eV/f.u.
Magnetization ... 0.01 μB/f.u.
V ... 144.34 Å³/f.u.
Fermi-level density of states ... 11.67 states/eV per cell

---

[5]
Here is crystalline PrPaSe2O at its relaxed geometry from Alexandria via LeMat-Bulk. Energies are from PBE.

Lattice parameters (Å, degrees): 4.0590 4.0590 14.1614 90.00 90.00 90.00
With the nearest neighbours (Å) after each atom.
Space group P4/nmm (No. 129, origin choice 2)
Asymmetric unit:
Pr1 0.2500 0.2500 0.0859 [2 per cell]  4 O 2.37
Pa1 0.2500 0.2500 0.6028 [2 per cell]  6 Se 2.73-3.01
Se1 0.2500 0.2500 0.3904 [2 per cell]  5 Pa 2.87-3.01
Se2 0.2500 0.2500 0.7953 [2 per cell]  1 Pa 2.73
O1 0.2500 0.7500 0.0000 [2 per cell]  4 Pr 2.37

Computed properties:
VASP energy ... -36.88 eV/f.u.
Magnetization ... 0.53 μB/f.u.
V ... 116.66 Å³/f.u.
Fermi-level density of states ... 6.68 states/eV per cell

---

[6]
Here is crystalline PrPaSi2O8 at its relaxed geometry from Alexandria via LeMat-Bulk. Energies are from PBE.

Lattice parameters (Å, degrees): 7.1163 7.1163 6.2580 90.00 90.00 90.00
With the nearest neighbours (Å) after each atom.
Space group I-4m2 (No. 119)
Asymmetric unit:
Pr1 0.0000 0.0000 0.0000 [2 per cell]  8 O 2.39-2.50
Pa1 0.0000 0.5000 0.2500 [2 per cell]  8 O 2.31-2.36
Si1 0.0000 0.0000 0.5000 [2 per cell]  4 O 1.66
Si2 0.0000 0.5000 0.7500 [2 per cell]  4 O 1.64
O1 0.0000 0.1851 0.3388 [8 per cell]  1 Si 1.66
O2 0.0000 0.3290 0.9267 [8 per cell]  1 Si 1.64

Computed properties:
VASP energy ... -103.10 eV/f.u.
Magnetization ... 0.00 μB/f.u.
V ... 158.46 Å³/f.u.
Fermi-level density of states ... 0.00 states/eV per cell

---

[7]
Here is crystalline PrPaSn2O8 at its relaxed geometry from Alexandria via LeMat-Bulk. Energies are from PBE.

Lattice parameters (Å, degrees): 7.3612 7.3612 6.9906 90.00 90.00 90.00
With the nearest neighbours (Å) after each atom.
Space group I-4m2 (No. 119)
Asymmetric unit:
Pr1 0.0000 0.0000 0.0000 [2 per cell]  8 O 2.38-2.61
Pa1 0.0000 0.5000 0.7500 [2 per cell]  8 O 2.26-2.42
Sn1 0.0000 0.0000 0.5000 [2 per cell]  4 O 1.98
Sn2 0.0000 0.5000 0.2500 [2 per cell]  4 O 1.97
O1 0.0000 0.1979 0.6908 [8 per cell]  1 Sn 1.98
O2 0.0000 0.3213 0.0405 [8 per cell]  1 Sn 1.97

Computed properties:
VASP energy ... -91.04 eV/f.u.
Magnetization ... 0.00 μB/f.u.
V ... 189.40 Å³/f.u.
Fermi-level density of states ... 0.00 states/eV per cell

---

[8]
Here is crystalline SrPrPaO6 at its relaxed geometry from Alexandria via LeMat-Bulk. Energies are from PBE.

Lattice parameters (Å, degrees): 6.1335 6.1335 4.7107 90.00 90.00 120.00
With the nearest neighbours (Å) after each atom.
Space group P312 (No. 149)
Asymmetric unit:
Sr1 0.0000 0.0000 0.0000 [1 per cell]  6 O 2.52
Pr1 0.3333 0.6667 0.0000 [1 per cell]  6 O 2.40
Pa1 0.6667 0.3333 0.5000 [1 per cell]  6 O 2.18
O1 0.3736 0.0251 0.2539 [6 per cell]  1 Pa 2.18, 1 Pr 2.40

Computed properties:
VASP energy ... -70.09 eV/f.u.
Magnetization ... 2.04 μB/f.u.
V ... 153.47 Å³/f.u.
Fermi-level density of states ... 8.36 states/eV per cell

---

| no. | E_form (uncorrected) (eV/atom) |
| --- | --- |
| 1 | -1.822 |
| 2 | -1.593 |
| 3 | -2.800 |
| 4 | -2.668 |
| 5 | -2.135 |
| 6 | -3.193 |
| 7 | -2.425 |
| 8 | -2.709 |